(1)
The following is a PBE calculation of a relaxed ZrHg2Au crystal, from the Alexandria database.

Summary:
Relative energy among the computed polymorphs in eV/atom: 0.090
Energy relative to the elements in eV per atom: -0.07

abc: 5.9537 5.9537 5.9537
angles: 149.04 127.35 62.35
With the nearest neighbours (Å) after each atom.
Fractional coordinates of all 4 atoms:
1 Au 0.2500 0.7500 0.5000  4 Hg 2.96, 4 Zr 3.08, 2 Au 3.18
2 Hg 0.0047 0.0047 0.0000  2 Au 2.96, 2 Zr 3.04, 6 Hg 3.08-3.18
3 Hg 0.4953 0.4953 0.0000  2 Au 2.96, 2 Zr 3.04, 6 Hg 3.08-3.18
4 Zr 0.7500 0.2500 0.5000  4 Hg 3.04, 4 Au 3.08, 2 Zr 3.18


(2)
The following is a PBE calculation of a relaxed Co2WSe crystal, from the Alexandria database.

Summary:
Formation energy from raw total energies in eV per atom: 0.31

abc: 8.1625 8.1625 8.1625
angles: 19.85 19.85 19.85
With the nearest neighbours (Å) after each atom.
Fractional coordinates of all 4 atoms:
1 Co 0.9966 0.9966 0.9966  3 Se 2.51, 3 W 2.64, 6 Co 2.81
2 Co 0.5034 0.5034 0.5034  3 Se 2.51, 3 W 2.64, 6 Co 2.81
3 Se 0.2500 0.2500 0.2500  6 Co 2.51, 6 Se 2.81
4 W 0.7500 0.7500 0.7500  6 Co 2.64, 6 W 2.81


(3)
The following is a PBE calculation of a relaxed PmSm4Sc7 crystal, from the Alexandria database.

Summary:
Energy relative to the elements in eV per atom: 0.25

abc: 5.6108 11.1773 6.4010
angles: 84.40 64.01 75.46
With the nearest neighbours (Å) after each atom.
Fractional coordinates of all 12 atoms:
1 Pm 0.0000 0.0000 0.0000  4 Sc 2.81-3.01
2 Sm 0.6323 0.2226 0.5129  7 Sc 3.22-3.49, 2 Sm 3.51
3 Sm 0.3677 0.7774 0.4871  7 Sc 3.22-3.49, 2 Sm 3.51
4 Sm 0.7802 0.6606 0.7791  4 Sc 3.11-3.33
5 Sm 0.2198 0.3394 0.2209  4 Sc 3.11-3.33
6 Sc 0.7882 0.9225 0.5011  4 Sc 2.98-3.27, 1 Pm 3.01, 4 Sm 3.22-3.27
7 Sc 0.2118 0.0775 0.4989  4 Sc 2.98-3.27, 1 Pm 3.01, 4 Sm 3.22-3.27
8 Sc 0.0714 0.6827 0.1745  4 Sc 3.08-3.41
9 Sc 0.9286 0.3173 0.8255  4 Sc 3.08-3.41
10 Sc 0.3687 0.4940 0.7686  4 Sc 3.08-3.41, 4 Sm 3.11-3.33
11 Sc 0.5000 0.0000 0.0000  2 Pm 2.81, 2 Sc 2.98
12 Sc 0.6313 0.5060 0.2314  4 Sc 3.08-3.41, 4 Sm 3.11-3.33


no.,total energy (eV per atom)
1,-3.176
2,-7.355
3,-5.410